10
Lattice="3.328 0.000 0.000 -1.664 2.882 0.000 0.000 0.000 12.212" Properties=species:S:1:pos:R:3 comment="AlMoO3 | Alexandria via LeMat-Bulk | PBE with a Hubbard U | relaxed" n_ef_per_ev_atom=0.104 dft_energy_ev_per_atom=-6.89 total_magnetization_mub_per_fu=2.15 pbc="T T T"
Al 0.000 0.000 0.000
Al 0.000 0.000 6.106
Mo 0.000 1.922 3.053
Mo 1.664 0.961 9.159
O 0.000 0.000 3.053
O 0.000 0.000 9.159
O 0.000 1.922 0.875
O 0.000 1.922 5.231
O 1.664 0.961 6.981
O 1.664 0.961 11.337